[1]
# Dy2H3Pb | Alexandria via LeMat-Bulk | PBE | relaxed
# Space-group type = C2/m, No. 12
# Total magnetic moment = 0.0 μB/f.u.
# Energy = -4.43 eV per atom
data_Dy2H3Pb
_symmetry_space_group_name_H-M 'P 1'
_symmetry_Int_Tables_number 1
_symmetry_space_group_name_Hall 'P 1'
_cell_length_a 3.695
_cell_length_b 7.508
_cell_length_c 7.645
_cell_angle_alpha 111.49
_cell_angle_beta 90.00
_cell_angle_gamma 104.25
loop_
_atom_site_label
_atom_site_fract_x
_atom_site_fract_y
_atom_site_fract_z
_atom_site_occupancy
H1 0.690 0.381 0.467 1
Dy1 0.472 0.943 0.727 1
Dy2 0.193 0.386 0.656 1
Dy3 0.807 0.614 0.344 1
H2 0.065 0.130 0.407 1
H3 0.935 0.870 0.593 1
Dy4 0.528 0.057 0.273 1
H4 0.310 0.619 0.533 1
Pb1 0.141 0.282 0.035 1
H5 0.590 0.181 0.609 1
H6 0.410 0.819 0.391 1
Pb2 0.859 0.718 0.965 1

=====

[2]
# SbMoSe | Alexandria via LeMat-Bulk | PBE | relaxed
# Space-group type = C2/m, No. 12
# ΔE to the lowest computed polymorph = 0 meV/atom
# Total magnetic moment = 0.0 μB/f.u.
data_SbMoSe
_symmetry_space_group_name_H-M 'P 1'
_symmetry_Int_Tables_number 1
_symmetry_space_group_name_Hall 'P 1'
_cell_length_a 3.210
_cell_length_b 5.579
_cell_length_c 7.708
_cell_angle_alpha 83.12
_cell_angle_beta 102.03
_cell_angle_gamma 90.01
loop_
_atom_site_label
_atom_site_fract_x
_atom_site_fract_y
_atom_site_fract_z
_atom_site_occupancy
Se1 0.812 0.783 0.624 1
Sb1 0.460 0.263 0.919 1
Mo1 0.196 0.671 0.393 1
Sb2 0.540 0.737 0.081 1
Se2 0.188 0.217 0.376 1
Mo2 0.804 0.329 0.607 1

=====

[3]
# YTcRu2 | Alexandria via LeMat-Bulk | PBE | relaxed
# Space-group type = P2/m, No. 10
# ΔE to the lowest computed polymorph = 148 meV/atom
# Total magnetic moment = 0.0 μB/f.u.
# Calculated formation energy = 0.232 eV per atom
data_YTcRu2
_symmetry_space_group_name_H-M 'P 1'
_symmetry_Int_Tables_number 1
_symmetry_space_group_name_Hall 'P 1'
_cell_length_a 4.285
_cell_length_b 2.939
_cell_length_c 5.633
_cell_angle_alpha 76.51
_cell_angle_beta 90.00
_cell_angle_gamma 90.00
loop_
_atom_site_label
_atom_site_fract_x
_atom_site_fract_y
_atom_site_fract_z
_atom_site_occupancy
Ru1 0.000 0.438 0.461 1
Y1 0.500 0.750 0.750 1
Ru2 0.000 0.062 0.039 1
Tc1 0.500 0.250 0.250 1

=====

[4]
# LaHoTm3 | Alexandria via LeMat-Bulk | PBE | relaxed
# Space-group type = Pnma, No. 62
# ΔE to the lowest computed polymorph = 0 meV/atom
# Total magnetic moment = 0.0 μB/f.u.
# Calculated formation energy = 0.185 eV per atom
data_LaHoTm3
_symmetry_space_group_name_H-M 'P 1'
_symmetry_Int_Tables_number 1
_symmetry_space_group_name_Hall 'P 1'
_cell_length_a 5.459
_cell_length_b 10.286
_cell_length_c 11.773
_cell_angle_alpha 90.00
_cell_angle_beta 90.00
_cell_angle_gamma 90.00
loop_
_atom_site_label
_atom_site_fract_x
_atom_site_fract_y
_atom_site_fract_z
_atom_site_occupancy
Tm1 0.999 0.750 0.672 1
Tm2 0.501 0.063 0.308 1
Ho1 0.000 0.000 0.500 1
La1 0.000 0.250 0.051 1
La2 0.500 0.750 0.449 1
Ho2 0.500 0.000 0.000 1
Ho3 0.000 0.500 0.500 1
Tm3 0.001 0.563 0.192 1
La3 0.500 0.250 0.551 1
Tm4 0.999 0.063 0.808 1
La4 0.000 0.750 0.949 1
Tm5 0.501 0.750 0.172 1
Tm6 0.499 0.250 0.828 1
Tm7 0.499 0.937 0.692 1
Tm8 0.001 0.937 0.192 1
Tm9 0.999 0.437 0.808 1
Tm10 0.501 0.437 0.308 1
Tm11 0.499 0.563 0.692 1
Ho4 0.500 0.500 0.000 1
Tm12 0.001 0.250 0.328 1

=====

[5]
# Tb3PbAu | Alexandria via LeMat-Bulk | PBE | relaxed
# Space-group type = C2/m, No. 12
# Total magnetic moment = 0.0 μB/f.u.
# Calculated formation energy = -0.511 eV per atom
data_Tb3PbAu
_symmetry_space_group_name_H-M 'P 1'
_symmetry_Int_Tables_number 1
_symmetry_space_group_name_Hall 'P 1'
_cell_length_a 6.681
_cell_length_b 4.875
_cell_length_c 11.485
_cell_angle_alpha 102.25
_cell_angle_beta 129.53
_cell_angle_gamma 90.00
loop_
_atom_site_label
_atom_site_fract_x
_atom_site_fract_y
_atom_site_fract_z
_atom_site_occupancy
Pb1 0.706 0.599 0.198 1
Tb1 0.759 0.383 0.765 1
Tb2 0.241 0.617 0.235 1
Tb3 0.922 0.792 0.584 1
Tb4 0.078 0.208 0.416 1
Au1 0.542 0.213 0.425 1
Pb2 0.294 0.401 0.802 1
Tb5 0.713 0.987 0.973 1
Au2 0.458 0.787 0.575 1
Tb6 0.287 0.013 0.027 1